{"formula": "CaCrNi", "functional": "PBE-GGA", "state": "relaxed", "lattice_angstrom": [[6.7582, 0.0000, 0.0000], [0.0000, 3.9010, 0.0000], [-2.2302, 0.0000, 9.5477]], "species": ["Ca", "Ca", "Ca", "Ca", "Cr", "Cr", "Cr", "Cr", "Ni", "Ni", "Ni", "Ni"], "frac_coords": [[0.2290, 0.0000, 0.1852], [0.2710, 0.5000, 0.8148], [0.7290, 0.5000, 0.1852], [0.7710, 0.0000, 0.8148], [0.1636, 0.5000, 0.4910], [0.3364, 0.0000, 0.5090], [0.6636, 0.0000, 0.4910], [0.8364, 0.5000, 0.5090], [0.0419, 0.0000, 0.6271], [0.4581, 0.5000, 0.3729], [0.5419, 0.5000, 0.6271], [0.9581, 0.0000, 0.3729]], "total_energy_ev_per_atom": -5.585, "relative_energy_mev_per_atom": 0}